Record 1
TcSbAu2S: optimized geometry, PBE.

Lattice parameters (Å, degrees): 5.1420 5.1611 5.1420 90.00 90.00 90.00
Last column: nearest neighbours and their distance in Å.
Element x y z (fractional)
Sb 0.0000 0.0000 0.0000  4 Au 2.57, 2 S 2.58
S 0.0000 0.5000 0.0000  2 Sb 2.58
Tc 0.5000 0.5000 0.5000  4 S 3.64, 8 Au 3.64
Au 0.0000 0.0000 0.5000  2 Sb 2.57
Au 0.5000 0.0000 0.0000  2 Sb 2.57

E_form (uncorrected) = 1.16 eV per atom
M_tot = 4.629 μB per formula unit
Total DFT energy (no corrections) = -3.877 eV/atom
Space-group type = P4/mmm
Theoretical density = 7.9 Mg/m³

Record 2
SbTe2AuS: optimized geometry, PBE.

Lattice parameters (Å, degrees): 5.2039 5.2039 5.2611 90.00 90.00 90.00
Last column: nearest neighbours and their distance in Å.
Element x y z (fractional)
Te 0.0000 0.5000 0.0000  2 S 2.60
Te 0.5000 0.0000 0.0000  2 S 2.60
Au 0.5000 0.5000 0.5000  4 Sb 3.68, 8 Te 3.70
S 0.0000 0.0000 0.0000  4 Te 2.60, 2 Sb 2.63
Sb 0.0000 0.0000 0.5000  2 S 2.63

E_form (uncorrected) = 0.69 eV per atom
M_tot = 0.000 μB per formula unit
Total DFT energy (no corrections) = -2.871 eV/atom
ΔE to the lowest computed polymorph = 0 meV/atom
Space-group type = P4/mmm
Theoretical density = 7.1 Mg/m³

Record 3
SbTe2AuS: optimized geometry, PBE.

Lattice parameters (Å, degrees): 5.3832 5.3832 5.4384 90.00 90.00 90.00
Last column: nearest neighbours and their distance in Å.
Element x y z (fractional)
Te 0.5000 0.0000 0.0000  2 Au 2.69
Te 0.0000 0.5000 0.0000  2 Au 2.69
Sb 0.0000 0.0000 0.5000  2 Au 2.72
S 0.5000 0.5000 0.5000  4 Sb 3.81, 8 Te 3.83
Au 0.0000 0.0000 0.0000  4 Te 2.69, 2 Sb 2.72

E_form (uncorrected) = 0.84 eV per atom
M_tot = 0.658 μB per formula unit
Total DFT energy (no corrections) = -2.727 eV/atom
ΔE to the lowest computed polymorph = 144 meV/atom
Space-group type = P4/mmm
Theoretical density = 6.4 Mg/m³

Q: Look up the M_tot of the third one.
A: 0.658 μB per formula unit

What did the first record say?
TcSbAu2S: optimized geometry, PBE.

Lattice parameters (Å, degrees): 5.1420 5.1611 5.1420 90.00 90.00 90.00
Last column: nearest neighbours and their distance in Å.
Element x y z (fractional)
Sb 0.0000 0.0000 0.0000  4 Au 2.57, 2 S 2.58
S 0.0000 0.5000 0.0000  2 Sb 2.58
Tc 0.5000 0.5000 0.5000  4 S 3.64, 8 Au 3.64
Au 0.0000 0.0000 0.5000  2 Sb 2.57
Au 0.5000 0.0000 0.0000  2 Sb 2.57

E_form (uncorrected) = 1.16 eV per atom
M_tot = 4.629 μB per formula unit
Total DFT energy (no corrections) = -3.877 eV/atom
Space-group type = P4/mmm
Theoretical density = 7.9 Mg/m³